An optimized crystal structure of CaVBi2O. Source: Alexandria, functional PBE+U.

Its density is 7.31 g/cm³. As for the total energy: -4.8293 eV/atom. The total magnetization is 0.079 μB/f.u.

It has space group P4/mmm (No. 123), with a = 5.610 Å, b = 5.610 Å, c = 3.789 Å, α = 90.00°, β = 90.00° and γ = 90.00°. The distinct sites, in fractional coordinates, are Ca at (0.000, 0.000, 0.000), V at (0.500, 0.500, 0.000), Bi at (0.000, 0.500, 0.500) and O at (0.500, 0.500, 0.500).